ErThTl | PBE-GGA | relaxed Values from VASP.

Quantum ESPRESSO input file:
```
&SYSTEM
  ibrav = 0, nat = 6, ntyp = 3
/
ATOMIC_SPECIES
Er 167.26 Er.upf
Th 232.04 Th.upf
Tl 204.38 Tl.upf
ATOMIC_POSITIONS crystal
Er 0.1774 0.1774 0.0000
Er 0.8226 0.8226 0.0000
Th 0.0000 0.5000 0.5000
Th 0.5000 0.0000 0.5000
Tl 0.3561 0.3561 0.0000
Tl 0.6439 0.6439 0.0000
CELL_PARAMETERS angstrom
-2.3010 2.3010 8.6091
2.3010 -2.3010 8.6091
2.3010 2.3010 -8.6091
```

Results
Distance to the lowest polymorph of the same formula ... 0.000 eV/atom
V ... 182.3 Å³ per cell
D(E_F) ... 5.37 states/eV per cell
Calculated formation energy ... -0.13 eV/atom
Density ... 11.0 g cm⁻³